The following is a PBE with a Hubbard U calculation of a geometry-optimized AcVHg2O6 structure, from Alexandria.

POSCAR file:
```
AcVHg2O6
1.0
-5.4657 1.4703 -1.5402
-4.3350 -0.2845 3.9413
-2.3749 5.0972 2.1212
Ac V Hg O
1 1 2 6
direct
0.8096 0.8097 0.5711
0.3080 0.3079 0.0762
0.5335 0.5335 0.3995
0.0605 0.0605 0.8187
0.5307 0.2274 0.2527
0.2274 0.9891 0.2526
0.9890 0.5308 0.2527
0.4071 0.6602 0.7973
0.6602 0.1354 0.7973
0.1356 0.4071 0.7971
```

## Properties
As for the space-group type: R3 (146). The value obtained for the size of the total moment is 0.0 μB per cell. As for the energy: -5.72 eV per atom.